Record 1
TbErHg PBE-GGA optimized geometry; energy of formation = -0.1838 eV/atom
1.0
5.122 0.000 0.000
-2.561 4.436 0.000
0.000 0.000 3.699
Tb Er Hg
1 1 1
Direct
0.000 0.000 0.000
0.333 0.667 0.532
0.667 0.333 0.324

=====

Record 2
Tl3ZnTe2 PBE-GGA optimized geometry; energy relative to the elements, uncorrected = -0.214 eV per atom
1.0
13.822 0.000 0.000
0.000 4.456 0.000
0.000 0.000 12.730
Tl Zn Te
12 4 8
Direct
0.081 0.250 0.063
0.136 0.750 0.530
0.236 0.250 0.713
0.264 0.750 0.213
0.364 0.250 0.030
0.419 0.750 0.563
0.581 0.250 0.437
0.636 0.750 0.970
0.736 0.250 0.787
0.764 0.750 0.287
0.864 0.250 0.470
0.919 0.750 0.937
0.123 0.250 0.306
0.377 0.750 0.806
0.623 0.250 0.194
0.877 0.750 0.694
0.014 0.750 0.304
0.210 0.750 0.917
0.290 0.250 0.417
0.486 0.250 0.804
0.514 0.750 0.196
0.710 0.750 0.583
0.790 0.250 0.083
0.986 0.250 0.696

=====

Record 3
Nd5AgOs2 PBE-GGA optimized geometry; energy of formation = -0.1510 eV/atom
1.0
-4.006 4.006 6.834
4.006 -4.006 6.834
4.006 4.006 -6.834
Nd Ag Os
10 2 4
Direct
0.000 0.000 0.000
0.026 0.526 0.817
0.209 0.026 0.500
0.291 0.791 0.817
0.474 0.291 0.500
0.500 0.500 0.000
0.526 0.709 0.500
0.709 0.209 0.183
0.791 0.974 0.500
0.974 0.474 0.183
0.250 0.250 0.000
0.750 0.750 0.000
0.140 0.360 0.500
0.360 0.860 0.219
0.640 0.140 0.781
0.860 0.640 0.500

=====

Record 4
AgOsPbBr2 PBE-GGA optimized geometry; energy relative to the elements, uncorrected = 1.050 eV per atom
1.0
5.232 0.000 0.000
0.000 5.232 0.000
0.000 0.000 5.338
Ag Os Pb Br
1 1 1 2
Direct
0.000 0.000 0.000
0.000 0.000 0.500
0.500 0.500 0.500
0.000 0.500 0.000
0.500 0.000 0.000

=====

Record 5
CaTaSe2 PBE-GGA optimized geometry; energy relative to the elements, uncorrected = -0.825 eV per atom
1.0
5.016 0.000 0.000
0.000 1.788 4.896
0.000 -1.788 4.896
Ca Ta Se
1 1 2
Direct
0.000 0.000 0.000
0.500 0.280 0.280
0.000 0.282 0.282
0.500 0.569 0.569

=====

Record 6
Tb4NdCu4 PBE-GGA optimized geometry; energy of formation = -0.0208 eV/atom
1.0
9.028 0.000 0.000
0.000 9.028 0.000
0.000 0.000 5.643
Tb Nd Cu
8 2 8
Direct
0.077 0.661 0.151
0.161 0.923 0.651
0.339 0.577 0.651
0.423 0.839 0.151
0.577 0.161 0.849
0.661 0.423 0.349
0.839 0.077 0.349
0.923 0.339 0.849
0.250 0.250 0.250
0.750 0.750 0.750
0.026 0.606 0.636
0.106 0.974 0.136
0.394 0.526 0.136
0.474 0.894 0.636
0.526 0.106 0.364
0.606 0.474 0.864
0.894 0.026 0.864
0.974 0.394 0.364

=====

Number 1: size of the total moment 0.0 Bohr magnetons per cell. Number 2: size of the total moment 0.0 Bohr magnetons per cell. Number 3: size of the total moment 0.0 Bohr magnetons per cell. Number 4: size of the total moment 2.8 Bohr magnetons per cell. Number 5: size of the total moment 0.0 Bohr magnetons per cell. Number 6: size of the total moment 0.0 Bohr magnetons per cell.